FeW: relaxed, PBE.

```
FeW
1.0
7.0071 0.0000 0.0000
-3.5035 6.0683 0.0000
0.0000 0.0000 4.1053
Fe W
6 6
Direct
0.0429 0.8172 0.2500
0.1828 0.2257 0.2500
0.2257 0.0429 0.7500
0.7743 0.9571 0.2500
0.8172 0.7743 0.7500
0.9571 0.1828 0.7500
0.0903 0.6359 0.7500
0.3641 0.4544 0.7500
0.4544 0.0903 0.2500
0.5456 0.9097 0.7500
0.6359 0.5456 0.2500
0.9097 0.3641 0.2500
```

Symmetry = P6_3/m, No. 176
Fermi-level density of states = 17.3 states/eV/cell
Magnetic moment = 0.47 μB/f.u.
Formation enthalpy at 0 K = 0.57 eV per atom
Uncorrected energy = -10.14 eV/atom
V = 175 Å³/cell
Crystal system = hexagonal


LiYTeI: relaxed, PBE.

```
LiYTeI
1.0
4.2741 0.0000 0.0000
-2.1370 3.7015 0.0000
0.0000 0.0000 22.6856
Li Y Te I
3 3 3 3
Direct
0.0000 0.0000 0.0000
0.3333 0.6667 0.6667
0.6667 0.3333 0.3333
0.0000 0.0000 0.4628
0.3333 0.6667 0.1295
0.6667 0.3333 0.7962
0.0000 0.0000 0.7150
0.3333 0.6667 0.3817
0.6667 0.3333 0.0484
0.0000 0.0000 0.2171
0.3333 0.6667 0.8838
0.6667 0.3333 0.5505
```

Symmetry = R3m, No. 160
Fermi-level density of states = 5.4 states/eV/cell
Uncorrected formation energy = -4.4 eV/f.u.
Magnetic moment = 0.00 μB/f.u.
Uncorrected energy = -4.38 eV/atom
V = 359 Å³/cell
Crystal system = trigonal


ZrTlIr2: relaxed, PBE.

```
ZrTlIr2
1.0
3.0555 0.0000 0.0000
0.0000 3.0555 0.0000
0.0000 0.0000 7.9413
Zr Tl Ir
1 1 2
Direct
0.0000 0.0000 0.0000
0.5000 0.5000 0.6889
0.0000 0.0000 0.4488
0.5000 0.5000 0.2172
```

Symmetry = P4mm, No. 99
Fermi-level density of states = 4.9 states/eV/cell
Magnetic moment = 0.00 μB/f.u.
Formation enthalpy at 0 K = 0.11 eV per atom
Uncorrected energy = -7.05 eV/atom
V = 74 Å³/cell
Crystal system = tetragonal